(1)
Entry from Alexandria via LeMat-Bulk: a relaxed SmMg2Zn2Ga2 crystal (GGA-PBE).

```
data_SmMg2Zn2Ga2
_chemical_formula_sum 'Sm1 Mg2 Zn2 Ga2'
_symmetry_space_group_name_H-M 'P 1'
_symmetry_Int_Tables_number 1
_cell_length_a 4.4194
_cell_length_b 4.4194
_cell_length_c 8.6740
_cell_angle_alpha 75.24
_cell_angle_beta 75.24
_cell_angle_gamma 60.00
loop_
_symmetry_equiv_pos_as_xyz
'x,y,z'
loop_
_atom_site_label
_atom_site_fract_x
_atom_site_fract_y
_atom_site_fract_z
Zn1 0.4078 0.4078 0.7765
Zn2 0.5922 0.5922 0.2235
Ga1 0.2553 0.2553 0.2342
Ga2 0.7447 0.7447 0.7658
Mg1 0.1346 0.1346 0.5961
Mg2 0.8654 0.8654 0.4039
Sm1 0.0000 0.0000 0.0000
```

Results
As for the total magnetization: 0.00 Bohr magnetons per cell. Its crystal system is trigonal. The formation energy is -0.35 eV/atom.

(2)
Entry from Alexandria via LeMat-Bulk: a relaxed CrSb2TeC crystal (GGA-PBE).

```
data_CrSb2TeC
_chemical_formula_sum 'Cr1 Sb2 Te1 C1'
_symmetry_space_group_name_H-M 'P 1'
_symmetry_Int_Tables_number 1
_cell_length_a 5.0225
_cell_length_b 5.0225
_cell_length_c 5.0228
_cell_angle_alpha 90.00
_cell_angle_beta 90.00
_cell_angle_gamma 90.00
loop_
_symmetry_equiv_pos_as_xyz
'x,y,z'
loop_
_atom_site_label
_atom_site_fract_x
_atom_site_fract_y
_atom_site_fract_z
Cr1 0.0000 0.0000 0.0000
C1 0.5000 0.5000 0.5000
Te1 0.0000 0.0000 0.5000
Sb1 0.5000 0.0000 0.0000
Sb2 0.0000 0.5000 0.0000
```

Results
As for the total magnetization: 2.54 Bohr magnetons per cell. Its crystal system is tetragonal. The calculation puts the excess energy over the best structure of this formula in the dataset at 5.135 kcal/mol of atoms. As for the uncorrected formation energy: 1620 meV per atom.

(3)
Entry from Alexandria via LeMat-Bulk: a relaxed MnSb3I crystal (GGA-PBE).

```
data_MnSb3I
_chemical_formula_sum 'Mn1 Sb3 I1'
_symmetry_space_group_name_H-M 'P 1'
_symmetry_Int_Tables_number 1
_cell_length_a 5.1209
_cell_length_b 5.1209
_cell_length_c 5.1209
_cell_angle_alpha 90.00
_cell_angle_beta 90.00
_cell_angle_gamma 90.00
loop_
_symmetry_equiv_pos_as_xyz
'x,y,z'
loop_
_atom_site_label
_atom_site_fract_x
_atom_site_fract_y
_atom_site_fract_z
Sb1 0.0000 0.5000 0.0000
Sb2 0.5000 0.0000 0.0000
Sb3 0.0000 0.0000 0.5000
Mn1 0.0000 0.0000 0.0000
I1 0.5000 0.5000 0.5000
```

Results
As for the total magnetization: 2.07 Bohr magnetons per cell. Its crystal system is cubic. As for the uncorrected formation energy: 297 meV per atom.